Mg2ZnCl after structural relaxation, computed with PBE-GGA. Values from VASP.

Values from the calculation:
As for the density of states at the Fermi level: 0.422 states/eV per atom. The value obtained for the formation energy without anion corrections is -1.208 eV/f.u. Its energy relative to the lowest polymorph listed for this composition is 246.9 meV/atom. The symmetry is No. 122.

Quantum ESPRESSO input file:
```
&SYSTEM
  ibrav = 0, nat = 8, ntyp = 3
/
ATOMIC_SPECIES
Mg 24.30 Mg.upf
Zn 65.41 Zn.upf
Cl 35.45 Cl.upf
ATOMIC_POSITIONS angstrom
Mg 5.563 1.759 -0.816
Mg 1.759 1.854 0.816
Mg -1.854 1.950 2.449
Mg 1.950 1.854 4.081
Zn 3.709 0.000 1.632
Zn 0.000 0.000 3.265
Cl 0.000 0.000 0.000
Cl 0.000 3.709 1.632
CELL_PARAMETERS angstrom
-3.709 3.709 3.265
3.709 -3.709 3.265
3.709 3.709 -3.265
```



Mg2ZnCl after structural relaxation, computed with PBE-GGA. Values from VASP.

Values from the calculation:
As for the density of states at the Fermi level: 0.319 states/eV per atom. The value obtained for the formation energy without anion corrections is -1.250 eV/f.u. Its energy relative to the lowest polymorph listed for this composition is 236.5 meV/atom. The symmetry is No. 44.

Quantum ESPRESSO input file:
```
&SYSTEM
  ibrav = 0, nat = 4, ntyp = 3
/
ATOMIC_SPECIES
Mg 24.30 Mg.upf
Zn 65.41 Zn.upf
Cl 35.45 Cl.upf
ATOMIC_POSITIONS angstrom
Mg 0.000 0.000 0.000
Mg 0.000 2.519 2.517
Zn 1.606 0.000 2.660
Cl 0.000 0.000 5.603
CELL_PARAMETERS angstrom
-1.606 2.519 5.200
1.606 -2.519 5.200
1.606 2.519 -5.200
```



Mg2ZnCl after structural relaxation, computed with PBE-GGA. Values from VASP.

Values from the calculation:
As for the density of states at the Fermi level: 0.408 states/eV per atom. The value obtained for the formation energy without anion corrections is -1.275 eV/f.u. Its energy relative to the lowest polymorph listed for this composition is 230.2 meV/atom. The symmetry is No. 123.

Quantum ESPRESSO input file:
```
&SYSTEM
  ibrav = 0, nat = 4, ntyp = 3
/
ATOMIC_SPECIES
Mg 24.30 Mg.upf
Zn 65.41 Zn.upf
Cl 35.45 Cl.upf
ATOMIC_POSITIONS angstrom
Mg 0.000 2.577 0.000
Mg 2.577 0.000 0.000
Zn 0.000 0.000 1.541
Cl 2.577 2.577 1.541
CELL_PARAMETERS angstrom
5.155 0.000 0.000
0.000 5.155 0.000
0.000 0.000 3.082
```



MgZnCl4 after structural relaxation, computed with PBE-GGA. Values from VASP.

Values from the calculation:
As for the density of states at the Fermi level: 0.000 states/eV per atom. The value obtained for the formation energy without anion corrections is -8.788 eV/f.u. Its energy relative to the lowest polymorph listed for this composition is 0.0 meV/atom. The symmetry is No. 10.

Quantum ESPRESSO input file:
```
&SYSTEM
  ibrav = 0, nat = 6, ntyp = 3
/
ATOMIC_SPECIES
Mg 24.30 Mg.upf
Zn 65.41 Zn.upf
Cl 35.45 Cl.upf
ATOMIC_POSITIONS angstrom
Mg 0.000 0.000 0.000
Zn 3.147 1.812 0.000
Cl 0.632 1.812 5.248
Cl 2.119 0.000 1.375
Cl 3.742 0.000 5.253
Cl 5.230 1.812 1.380
CELL_PARAMETERS angstrom
6.294 0.000 0.000
0.000 3.624 0.000
-0.433 0.000 6.628
```



Mg2ZnCl after structural relaxation, computed with PBE-GGA. Values from VASP.

Values from the calculation:
As for the density of states at the Fermi level: 0.192 states/eV per atom. The value obtained for the formation energy without anion corrections is -1.649 eV/f.u. Its energy relative to the lowest polymorph listed for this composition is 136.7 meV/atom. The symmetry is No. 65.

Quantum ESPRESSO input file:
```
&SYSTEM
  ibrav = 0, nat = 4, ntyp = 3
/
ATOMIC_SPECIES
Mg 24.30 Mg.upf
Zn 65.41 Zn.upf
Cl 35.45 Cl.upf
ATOMIC_POSITIONS angstrom
Mg 0.000 0.000 1.900
Mg 0.000 0.000 6.024
Zn 1.937 0.000 0.000
Cl 1.937 0.000 3.962
CELL_PARAMETERS angstrom
1.937 -2.672 0.000
1.937 2.672 0.000
0.000 0.000 7.924
```



Mg2ZnCl after structural relaxation, computed with PBE-GGA. Values from VASP.

Values from the calculation:
As for the density of states at the Fermi level: 0.355 states/eV per atom. The value obtained for the formation energy without anion corrections is -1.542 eV/f.u. Its energy relative to the lowest polymorph listed for this composition is 163.5 meV/atom. The symmetry is No. 99.

Quantum ESPRESSO input file:
```
&SYSTEM
  ibrav = 0, nat = 4, ntyp = 3
/
ATOMIC_SPECIES
Mg 24.30 Mg.upf
Zn 65.41 Zn.upf
Cl 35.45 Cl.upf
ATOMIC_POSITIONS angstrom
Mg 0.000 0.000 0.000
Mg 1.665 1.665 2.209
Zn 0.000 0.000 3.703
Cl 1.665 1.665 7.112
CELL_PARAMETERS angstrom
3.330 0.000 0.000
0.000 3.330 0.000
0.000 0.000 8.473
```



Mg2ZnCl after structural relaxation, computed with PBE-GGA. Values from VASP.

Values from the calculation:
As for the density of states at the Fermi level: 0.332 states/eV per atom. The value obtained for the formation energy without anion corrections is -1.004 eV/f.u. Its energy relative to the lowest polymorph listed for this composition is 298.1 meV/atom. The symmetry is No. 47.

Quantum ESPRESSO input file:
```
&SYSTEM
  ibrav = 0, nat = 4, ntyp = 3
/
ATOMIC_SPECIES
Mg 24.30 Mg.upf
Zn 65.41 Zn.upf
Cl 35.45 Cl.upf
ATOMIC_POSITIONS angstrom
Mg 0.000 0.000 0.000
Mg 1.611 0.000 3.051
Zn 0.000 2.285 3.051
Cl 1.611 2.285 0.000
CELL_PARAMETERS angstrom
3.222 0.000 0.000
0.000 4.569 0.000
0.000 0.000 6.103
```



MgZnCl4 after structural relaxation, computed with PBE-GGA. Values from VASP.

Values from the calculation:
As for the density of states at the Fermi level: 0.446 states/eV per atom. The value obtained for the formation energy without anion corrections is 1.402 eV/f.u. Its energy relative to the lowest polymorph listed for this composition is 1698.4 meV/atom. The symmetry is No. 216.

Quantum ESPRESSO input file:
```
&SYSTEM
  ibrav = 0, nat = 6, ntyp = 3
/
ATOMIC_SPECIES
Mg 24.30 Mg.upf
Zn 65.41 Zn.upf
Cl 35.45 Cl.upf
ATOMIC_POSITIONS angstrom
Mg 0.000 0.000 0.000
Zn 6.302 6.302 6.302
Cl 3.151 3.151 3.151
Cl 5.252 5.252 3.151
Cl 5.252 3.151 5.252
Cl 3.151 5.252 5.252
CELL_PARAMETERS angstrom
0.000 4.202 4.202
4.202 0.000 4.202
4.202 4.202 0.000
```